Entry from the Alexandria database: a relaxed Th4ReN7 crystal (PBE-GGA).

Unit cell a=7.0213 b=7.0213 c=9.4363 alpha=129.81 beta=129.81 gamma=33.19
Fractional positions:
Th 0.0897 0.0897 0.3962
Th 0.2552 0.2552 0.1677
Th 0.7448 0.7448 0.8323
Th 0.9103 0.9103 0.6038
Re 0.5000 0.5000 0.0000
N 0.0000 0.0000 0.0000
N 0.1265 0.1265 0.6944
N 0.2979 0.2979 0.4457
N 0.4115 0.4115 0.0956
N 0.5885 0.5885 0.9044
N 0.7021 0.7021 0.5543
N 0.8735 0.8735 0.3056

Total energy ... -9.599 eV/atom
Space group ... No. 12
Crystal system ... monoclinic



Entry from the Alexandria database: a relaxed ThRe2N7 crystal (PBE-GGA).

Unit cell a=5.8095 b=5.8095 c=3.8104 alpha=90.00 beta=90.00 gamma=112.77
Fractional positions:
Th 0.0000 0.0000 0.0000
Re 0.3033 0.6967 0.5000
Re 0.6967 0.3033 0.5000
N 0.0690 0.3256 0.5000
N 0.2755 0.7245 0.0000
N 0.3256 0.0690 0.5000
N 0.5000 0.5000 0.5000
N 0.6744 0.9310 0.5000
N 0.7245 0.2755 0.0000
N 0.9310 0.6744 0.5000

Total energy ... -8.765 eV/atom
Space group ... No. 65
Crystal system ... orthorhombic



Entry from the Alexandria database: a relaxed ThRe2N6 crystal (PBE-GGA).

Unit cell a=6.2003 b=6.2003 c=6.2003 alpha=50.98 beta=50.98 gamma=50.98
Fractional positions:
Th 0.0000 0.0000 0.0000
Re 0.2069 0.2069 0.2069
Re 0.4943 0.4943 0.4943
N 0.1807 0.3684 0.7840
N 0.3110 0.9170 0.5365
N 0.3684 0.7840 0.1807
N 0.5365 0.3110 0.9170
N 0.7840 0.1807 0.3684
N 0.9170 0.5365 0.3110

Total energy ... -9.347 eV/atom
Space group ... No. 146
Crystal system ... trigonal



Entry from the Alexandria database: a relaxed TmTh2ReN5 crystal (PBE-GGA).

Unit cell a=6.7869 b=6.7869 c=5.8649 alpha=90.00 beta=90.00 gamma=90.00
Fractional positions:
Tm 0.0000 0.0000 0.0000
Tm 0.5000 0.5000 0.0000
Th 0.1726 0.3274 0.5000
Th 0.3274 0.8274 0.5000
Th 0.6726 0.1726 0.5000
Th 0.8274 0.6726 0.5000
Re 0.0000 0.5000 0.0000
Re 0.5000 0.0000 0.0000
N 0.0000 0.0000 0.5000
N 0.1448 0.6448 0.2323
N 0.1448 0.6448 0.7677
N 0.3552 0.1448 0.2323
N 0.3552 0.1448 0.7677
N 0.5000 0.5000 0.5000
N 0.6448 0.8552 0.2323
N 0.6448 0.8552 0.7677
N 0.8552 0.3552 0.2323
N 0.8552 0.3552 0.7677

Total energy ... -9.097 eV/atom
Space group ... No. 127
Crystal system ... tetragonal



no.,ΔE_f (raw) (meV per atom)
1,-1231
2,294
3,-206
4,-943